## Ca4Mn4O11 (PBE+U)

Data for a geometry-optimized Ca4Mn4O11 structure.

Cell and atoms, written as extended XYZ:
```
19
Lattice="5.434 0.000 0.000 0.000 5.434 0.000 0.000 0.000 7.626" Properties=species:S:1:pos:R:3 pbc="T T T"
Ca 0.000 2.717 0.000
Ca 0.000 2.717 3.813
Ca 2.717 0.000 0.000
Ca 2.717 0.000 3.813
Mn 0.000 0.000 1.855
Mn 0.000 0.000 5.772
Mn 2.717 2.717 1.947
Mn 2.717 2.717 5.679
O 0.000 0.000 0.000
O 0.000 0.000 3.813
O 1.384 1.384 1.737
O 1.384 1.384 5.889
O 1.384 4.051 1.737
O 1.384 4.051 5.889
O 2.717 2.717 3.813
O 4.051 1.384 1.737
O 4.051 1.384 5.889
O 4.051 4.051 1.737
O 4.051 4.051 5.889
```

Results
DOS(E_F), states/eV/f.u.: 1.3
Total energy, eV per cell: -131.5